[1]
# MgCu5Pd6

An optimized crystal structure of MgCu5Pd6 (PBE-GGA, Alexandria via LeMat-Bulk).

ΔE_f ... -0.25 eV/atom
Raw total energy ... -0.345 Ry per atom

a b c (Å): 4.2934 6.0918 12.8964
angles (deg): 90.00 90.00 90.00
Last column: nearest neighbours and their distance in Å.
Space group Immm (No. 71)
One atom of each set of equivalent atoms:
Mg (0.0000, 0.0000, 0.0000) (multiplicity 2)  8 Pd 2.66-2.67
Cu (0.0000, 0.0000, 0.3326) (multiplicity 4)  8 Pd 2.62
Cu (0.0000, 0.5000, 0.0000) (multiplicity 2)  8 Pd 2.61-2.65
Cu (0.0000, 0.5000, 0.3355) (multiplicity 4)  8 Pd 2.62-2.65
Pd (0.0000, 0.2425, 0.5000) (multiplicity 4)  6 Cu 2.61-2.64, 2 Mg 2.66
Pd (0.0000, 0.2538, 0.1690) (multiplicity 8)  7 Cu 2.62-2.65, 1 Mg 2.67



[2]
# Sr2TeO

An optimized crystal structure of Sr2TeO (PBE-GGA, Alexandria via LeMat-Bulk).

ΔE_f (raw) ... -1.4469 eV/atom
E above lowest polymorph ... 790.7 meV/atom
Raw total energy ... -0.317 Ry per atom

a b c (Å): 7.4945 7.4945 7.4945
angles (deg): 90.00 90.00 90.00
Last column: nearest neighbours and their distance in Å.
Space group Fm-3m (No. 225)
One atom of each set of equivalent atoms:
Sr (0.2500, 0.2500, 0.2500) (multiplicity 8)  4 O 3.25, 4 Te 3.25
Te (0.0000, 0.0000, 0.0000) (multiplicity 4)  8 Sr 3.25
O (0.0000, 0.0000, 0.5000) (multiplicity 4)  8 Sr 3.25



[3]
# VCN3

An optimized crystal structure of VCN3 (PBE-GGA, Alexandria via LeMat-Bulk).

ΔE_f (raw) ... 1.7715 eV/atom
Raw total energy ... -0.507 Ry per atom

a b c (Å): 3.3182 3.3182 3.3182
angles (deg): 90.00 90.00 90.00
Last column: nearest neighbours and their distance in Å.
Space group Pm-3m (No. 221)
One atom of each set of equivalent atoms:
V (0.0000, 0.0000, 0.0000) (multiplicity 1)  12 N 2.35
C (0.5000, 0.5000, 0.5000) (multiplicity 1)  6 N 1.66
N (0.0000, 0.5000, 0.5000) (multiplicity 3)  2 C 1.66



[4]
# NaLiBr2

An optimized crystal structure of NaLiBr2 (PBE-GGA, Alexandria via LeMat-Bulk).

ΔE_f (raw) ... -1.5206 eV/atom
E above lowest polymorph ... 4.0 meV/atom
Raw total energy ... -0.233 Ry per atom

a b c (Å): 6.4153 6.4153 11.7932
angles (deg): 90.00 90.00 90.00
Last column: nearest neighbours and their distance in Å.
Space group I-42d (No. 122)
One atom of each set of equivalent atoms:
Na (0.0000, 0.0000, 0.0000) (multiplicity 4)  4 Br 2.86
Li (0.0000, 0.0000, 0.5000) (multiplicity 4)  4 Br 2.56
Br (0.2105, 0.2500, 0.6250) (multiplicity 8)  2 Li 2.56, 2 Na 2.86



[5]
# Fe2CuH

An optimized crystal structure of Fe2CuH (PBE-GGA, Alexandria via LeMat-Bulk).

E above lowest polymorph ... 196.9 meV/atom
Raw total energy ... -0.427 Ry per atom

a b c (Å): 2.5248 2.5248 21.6279
angles (deg): 90.00 90.00 120.00
Last column: nearest neighbours and their distance in Å.
Space group R-3m (No. 166, hexagonal axes)
One atom of each set of equivalent atoms:
Fe (0.0000, 0.0000, 0.1133) (multiplicity 6)  3 H 1.86
Cu (0.0000, 0.0000, 0.0000) (multiplicity 3)  2 Fe 2.45, 6 Cu 2.52
H (0.0000, 0.0000, 0.5000) (multiplicity 3)  6 Fe 1.86



[6]
# BaLiBr

An optimized crystal structure of BaLiBr (PBE-GGA, Alexandria via LeMat-Bulk).

ΔE_f (raw) ... -0.8621 eV/atom
E above lowest polymorph ... 154.7 meV/atom
Raw total energy ... -0.198 Ry per atom

a b c (Å): 4.2384 4.2384 7.0427
angles (deg): 90.00 90.00 120.00
Last column: nearest neighbours and their distance in Å.
Space group P3m1 (No. 156)
One atom of each set of equivalent atoms:
Ba (0.0000, 0.0000, 0.0000) (multiplicity 1)  3 Br 3.55
Li (0.3333, 0.6667, 0.5464) (multiplicity 1)  3 Br 2.76
Br (0.6667, 0.3333, 0.3647) (multiplicity 1)  3 Li 2.76